1.
## CsBeV (PBE)

Data for an optimized crystal structure of CsBeV.

Summary:
The offset from the most stable computed form is 383 meV per atom. As for the formation enthalpy at 0 K: 880 meV per atom. Its density of states at the Fermi level is 0.595 states/eV per atom.

a = 7.7034 Å, b = 7.7034 Å, c = 3.3390 Å
α = 102.38°, β = 102.38°, γ = 111.53°
With the nearest neighbours (Å) after each atom.
Fractional coordinates of all 6 atoms:
Cs  0.1671  0.8329  0.5000  2 Cs 3.34, 2 V 3.50-3.54
Cs  0.8329  0.1671  0.0000  2 Cs 3.34, 2 V 3.50-3.54
Be  0.5649  0.6729  0.1160  2 Be 2.16, 3 V 2.25-2.37
Be  0.6729  0.5649  0.6160  2 Be 2.16, 3 V 2.25-2.37
V  0.3455  0.4741  0.4094  3 Be 2.25-2.37, 2 V 2.34
V  0.4741  0.3455  0.9094  3 Be 2.25-2.37, 2 V 2.34

=====

2.
## CsBeV3 (PBE)

Data for an optimized crystal structure of CsBeV3.

Summary:
The offset from the most stable computed form is 0 meV per atom. As for the formation enthalpy at 0 K: 1607 meV per atom. Its density of states at the Fermi level is 1.784 states/eV per atom.

a = 4.4362 Å, b = 4.4362 Å, c = 4.4362 Å
α = 90.00°, β = 90.00°, γ = 90.00°
With the nearest neighbours (Å) after each atom.
Fractional coordinates of all 5 atoms:
Cs  0.0000  0.0000  0.0000  12 V 3.14
Be  0.5000  0.5000  0.5000  6 V 2.22
V  0.0000  0.5000  0.5000  2 Be 2.22
V  0.5000  0.0000  0.5000  2 Be 2.22
V  0.5000  0.5000  0.0000  2 Be 2.22

=====

3.
## CsBeV (PBE)

Data for an optimized crystal structure of CsBeV.

Summary:
The offset from the most stable computed form is 422 meV per atom. As for the formation enthalpy at 0 K: 919 meV per atom. Its density of states at the Fermi level is 0.640 states/eV per atom.

a = 4.4878 Å, b = 4.4878 Å, c = 10.4253 Å
α = 90.00°, β = 90.00°, γ = 90.00°
With the nearest neighbours (Å) after each atom.
Fractional coordinates of all 6 atoms:
Cs  0.2500  0.2500  0.2125  1 V 3.44, 4 Be 3.74
Cs  0.7500  0.7500  0.7875  1 V 3.44, 4 Be 3.74
Be  0.2500  0.7500  0.5000  4 V 2.29
Be  0.7500  0.2500  0.5000  4 V 2.29
V  0.2500  0.2500  0.5427  4 Be 2.29
V  0.7500  0.7500  0.4573  4 Be 2.29

=====

4.
## CsBeV (PBE)

Data for an optimized crystal structure of CsBeV.

Summary:
The offset from the most stable computed form is 0 meV per atom. As for the formation enthalpy at 0 K: 497 meV per atom. Its density of states at the Fermi level is 0.529 states/eV per atom.

a = 3.3770 Å, b = 3.6047 Å, c = 12.5313 Å
α = 84.28°, β = 87.44°, γ = 90.00°
With the nearest neighbours (Å) after each atom.
Fractional coordinates of all 6 atoms:
Cs  0.0000  0.0000  0.0000  1 V 2.98
Cs  0.3971  0.7879  0.6169  1 V 2.99
Be  0.4555  0.4136  0.2467  2 Be 2.28, 6 V 2.43-2.47
Be  0.9348  0.3710  0.3700  2 Be 2.28, 6 V 2.43-2.47
V  0.4337  0.8685  0.3772  2 V 2.41, 6 Be 2.43-2.47
V  0.9567  0.9161  0.2396  2 V 2.41, 6 Be 2.43-2.47

=====

5.
## CsBeV (PBE)

Data for an optimized crystal structure of CsBeV.

Summary:
The offset from the most stable computed form is 168 meV per atom. As for the formation enthalpy at 0 K: 665 meV per atom. Its density of states at the Fermi level is 1.221 states/eV per atom.

a = 22.7959 Å, b = 4.3142 Å, c = 4.4741 Å
α = 90.00°, β = 90.00°, γ = 90.00°
With the nearest neighbours (Å) after each atom.
Fractional coordinates of all 12 atoms:
Cs  0.1400  0.2500  0.0017  2 Be 3.37
Cs  0.3600  0.7500  0.5017  2 Be 3.37
Cs  0.6400  0.2500  0.4983  2 Be 3.37
Cs  0.8600  0.7500  0.9983  2 Be 3.37
Be  0.0000  0.0000  0.0000  2 Be 2.16
Be  0.0000  0.5000  0.0000  2 Be 2.16
Be  0.5000  0.0000  0.5000  2 Be 2.16
Be  0.5000  0.5000  0.5000  2 Be 2.16
V  0.0016  0.7500  0.5000  2 V 2.16
V  0.4984  0.2500  0.0000  2 V 2.16
V  0.5016  0.7500  0.0000  2 V 2.16
V  0.9984  0.2500  0.5000  2 V 2.16

=====

6.
## CsBeV (PBE)

Data for an optimized crystal structure of CsBeV.

Summary:
The offset from the most stable computed form is 44 meV per atom. As for the formation enthalpy at 0 K: 541 meV per atom. Its density of states at the Fermi level is 0.662 states/eV per atom.

a = 3.8794 Å, b = 3.9766 Å, c = 12.5393 Å
α = 90.05°, β = 97.21°, γ = 117.85°
With the nearest neighbours (Å) after each atom.
Fractional coordinates of all 6 atoms:
Cs  0.0000  0.0000  0.0000  3 V 3.57-3.83, 1 Be 3.86, 4 Cs 3.88-3.98
Cs  0.3198  0.1539  0.6200  3 V 3.56-3.86, 1 Be 3.86, 4 Cs 3.88-3.98
Be  0.1862  0.0184  0.3099  3 Be 2.18-2.42
Be  0.8481  0.3291  0.3098  3 Be 2.18-2.42
V  0.4759  0.6553  0.2307  1 V 1.96
V  0.5584  0.6931  0.3888  1 V 1.96

=====

7.
## CsBeV (PBE)

Data for an optimized crystal structure of CsBeV.

Summary:
The offset from the most stable computed form is 1331 meV per atom. As for the formation enthalpy at 0 K: 1828 meV per atom. Its density of states at the Fermi level is 1.743 states/eV per atom.

a = 5.1742 Å, b = 5.1742 Å, c = 5.1742 Å
α = 60.00°, β = 60.00°, γ = 60.00°
With the nearest neighbours (Å) after each atom.
Fractional coordinates of all 3 atoms:
Cs  0.0000  0.0000  0.0000  4 Be 3.17
Be  0.2500  0.2500  0.2500  4 V 3.17, 4 Cs 3.17
V  0.5000  0.5000  0.5000  4 Be 3.17

=====

8.
## CsBeV (PBE)

Data for an optimized crystal structure of CsBeV.

Summary:
The offset from the most stable computed form is 454 meV per atom. As for the formation enthalpy at 0 K: 951 meV per atom. Its density of states at the Fermi level is 0.887 states/eV per atom.

a = 4.4435 Å, b = 7.0984 Å, c = 7.1015 Å
α = 105.18°, β = 101.67°, γ = 101.73°
With the nearest neighbours (Å) after each atom.
Fractional coordinates of all 6 atoms:
Cs  0.0000  0.0000  0.0000  4 V 3.85-4.00, 4 Be 3.93-4.22
Cs  0.4990  0.6466  0.3541  4 Be 3.63-4.05, 2 V 4.03-4.04
Be  0.1956  0.4934  0.7441  1 Be 2.19, 3 V 2.28-2.41
Be  0.8041  0.2576  0.5072  1 Be 2.19, 3 V 2.28-2.41
V  0.3213  0.2017  0.6050  1 V 1.88
V  0.6776  0.3950  0.7989  1 V 1.88

=====

9.
## Cs2BeV (PBE)

Data for an optimized crystal structure of Cs2BeV.

Summary:
As for the formation enthalpy at 0 K: 1508 meV per atom. Its density of states at the Fermi level is 1.761 states/eV per atom.

a = 6.1266 Å, b = 6.1266 Å, c = 6.1266 Å
α = 60.00°, β = 60.00°, γ = 60.00°
With the nearest neighbours (Å) after each atom.
Fractional coordinates of all 4 atoms:
Cs  0.2500  0.2500  0.2500  4 V 3.75, 4 Be 3.75
Cs  0.7500  0.7500  0.7500  4 V 3.75, 4 Be 3.75
Be  0.0000  0.0000  0.0000  8 Cs 3.75
V  0.5000  0.5000  0.5000  8 Cs 3.75

=====

10.
## CsBe3V (PBE)

Data for an optimized crystal structure of CsBe3V.

Summary:
The offset from the most stable computed form is 1409 meV per atom. As for the formation enthalpy at 0 K: 2789 meV per atom. Its density of states at the Fermi level is 1.440 states/eV per atom.

a = 4.9418 Å, b = 4.9418 Å, c = 4.9418 Å
α = 90.00°, β = 90.00°, γ = 90.00°
With the nearest neighbours (Å) after each atom.
Fractional coordinates of all 5 atoms:
Cs  0.0000  0.0000  0.0000  6 Be 2.47
Be  0.0000  0.0000  0.5000  2 Cs 2.47
Be  0.0000  0.5000  0.0000  2 Cs 2.47
Be  0.5000  0.0000  0.0000  2 Cs 2.47
V  0.5000  0.5000  0.5000  12 Be 3.49

=====

11.
## CsBeV (PBE)

Data for an optimized crystal structure of CsBeV.

Summary:
The offset from the most stable computed form is 550 meV per atom. As for the formation enthalpy at 0 K: 1047 meV per atom. Its density of states at the Fermi level is 1.189 states/eV per atom.

a = 11.7581 Å, b = 3.3804 Å, c = 9.0554 Å
α = 90.00°, β = 90.00°, γ = 90.00°
With the nearest neighbours (Å) after each atom.
Fractional coordinates of all 12 atoms:
Cs  0.1746  0.2500  0.0665  2 Cs 3.38, 1 V 3.63, 3 Be 3.64-3.72
Cs  0.3254  0.7500  0.5665  2 Cs 3.38, 1 V 3.63, 3 Be 3.64-3.72
Cs  0.6746  0.2500  0.4335  2 Cs 3.38, 1 V 3.63, 3 Be 3.64-3.72
Cs  0.8254  0.7500  0.9335  2 Cs 3.38, 1 V 3.63, 3 Be 3.64-3.72
Be  0.0607  0.2500  0.6932  3 V 2.31-2.44
Be  0.4393  0.7500  0.1932  3 V 2.31-2.44
Be  0.5607  0.2500  0.8068  3 V 2.31-2.44
Be  0.9393  0.7500  0.3068  3 V 2.31-2.44
V  0.0376  0.2500  0.4254  3 Be 2.31-2.44, 2 V 2.34
V  0.4624  0.7500  0.9254  3 Be 2.31-2.44, 2 V 2.34
V  0.5376  0.2500  0.0746  3 Be 2.31-2.44, 2 V 2.34
V  0.9624  0.7500  0.5746  3 Be 2.31-2.44, 2 V 2.34

=====

12.
## CsBeV (PBE)

Data for an optimized crystal structure of CsBeV.

Summary:
The offset from the most stable computed form is 909 meV per atom. As for the formation enthalpy at 0 K: 1406 meV per atom. Its density of states at the Fermi level is 2.032 states/eV per atom.

a = 3.9534 Å, b = 3.9534 Å, c = 6.2409 Å
α = 90.00°, β = 90.00°, γ = 120.00°
With the nearest neighbours (Å) after each atom.
Fractional coordinates of all 3 atoms:
Cs  0.0000  0.0000  0.0000  6 V 3.87, 6 Be 3.87, 6 Cs 3.95
Be  0.3333  0.6667  0.5000  3 V 2.28
V  0.6667  0.3333  0.5000  3 Be 2.28